A geometry-optimized Sr2LiZn6Ir structure, computed with PBE.

Cell: 6.5573 6.5573 35.0333 Å, 90.00 90.00 120.00°
Space group R-3m (No. 166, hexagonal axes)
Symmetry-distinct sites (fractional):
Sr1 0.0000 0.0000 0.1053 x6
Sr2 0.0000 0.0000 0.2800 x6
Li1 0.0000 0.0000 0.4270 x6
Zn1 0.0631 0.5315 0.3027 x18
Zn2 0.0694 0.5347 0.8615 x18
Ir1 0.0000 0.0000 0.0000 x3
Ir2 0.0000 0.0000 0.5000 x3

Energy of formation, eV per atom: -0.21
Density of states at the Fermi level, states/eV per cell: 29.311
Final energy, eV/atom: -2.38
Crystal system: trigonal


A geometry-optimized Li4TaIr structure, computed with PBE.

Cell: 6.7499 6.7499 6.7499 Å, 90.00 90.00 90.00°
Space group F-43m (No. 216)
Symmetry-distinct sites (fractional):
Li1 0.1221 0.1221 0.3779 x16
Ta1 0.0000 0.0000 0.0000 x4
Ir1 0.2500 0.2500 0.7500 x4

Energy of formation, eV per atom: 0.12
Density of states at the Fermi level, states/eV per cell: 3.327
Final energy, eV/atom: -4.61
Crystal system: cubic


Question: energy of formation of number 2 (Li4TaIr)?
Answer: 0.12 eV per atom


Copy entry 1 word for word.
A geometry-optimized Sr2LiZn6Ir structure, computed with PBE.

Cell: 6.5573 6.5573 35.0333 Å, 90.00 90.00 120.00°
Space group R-3m (No. 166, hexagonal axes)
Symmetry-distinct sites (fractional):
Sr1 0.0000 0.0000 0.1053 x6
Sr2 0.0000 0.0000 0.2800 x6
Li1 0.0000 0.0000 0.4270 x6
Zn1 0.0631 0.5315 0.3027 x18
Zn2 0.0694 0.5347 0.8615 x18
Ir1 0.0000 0.0000 0.0000 x3
Ir2 0.0000 0.0000 0.5000 x3

Energy of formation, eV per atom: -0.21
Density of states at the Fermi level, states/eV per cell: 29.311
Final energy, eV/atom: -2.38
Crystal system: trigonal


Question: Among the records above, which one has the lowest energy of formation?
Answer: Sr2LiZn6Ir


Question: What is the energy of formation in the first record?
Answer: -0.21 eV per atom